No. 1
The following is a PBE calculation of a geometry-optimized TiV2Co3 structure, from Alexandria.

Cell lengths 4.127, 6.526, 5.884 Å; angles 90.01, 90.02, 71.57 degrees
Site moments in Bohr magnetons follow the coordinates.
Positions (direct):
Ti  0.337  0.327  0.000  -0.07
Ti  0.663  0.673  0.000  -0.07
V  0.000  0.000  0.000  0.96
V  0.000  0.000  0.500  0.66
V  0.334  0.332  0.500  0.55
V  0.666  0.668  0.500  0.55
Co  0.833  0.335  0.743  1.12
Co  0.500  0.000  0.257  1.18
Co  0.167  0.665  0.257  1.12
Co  0.833  0.335  0.257  1.12
Co  0.167  0.665  0.743  1.12
Co  0.500  0.000  0.743  1.18

Computed properties:
- calculated formation energy (eV per formula unit) = -0.99
- magnetic moment (μB/atom) = 0.787

No. 2
The following is a PBE calculation of a geometry-optimized Ti4V2Co structure, from Alexandria.

Cell lengths 4.419, 4.419, 7.034 Å; angles 71.69, 71.69, 90.00 degrees
Site moments in Bohr magnetons follow the coordinates.
Positions (direct):
Ti  0.191  0.191  0.618  -0.05
Ti  0.809  0.809  0.382  -0.05
Ti  0.000  0.500  0.000  0.30
Ti  0.500  0.000  0.000  0.30
Co  0.000  0.000  0.000  0.15
V  0.379  0.379  0.242  1.50
V  0.621  0.621  0.758  1.50

Computed properties:
- calculated formation energy (eV per formula unit) = 4.46
- magnetic moment (μB/atom) = 0.571

No. 3
The following is a PBE calculation of a geometry-optimized TiV2Co6 structure, from Alexandria.

Cell lengths 3.716, 5.528, 6.731 Å; angles 114.25, 106.01, 90.00 degrees
Positions (direct):
Ti  0.000  0.000  0.000
V  0.667  0.667  0.334
V  0.333  0.333  0.666
Co  0.170  0.418  0.339
Co  0.830  0.078  0.661
Co  0.830  0.582  0.661
Co  0.500  0.268  0.000
Co  0.170  0.922  0.339
Co  0.500  0.732  0.000

Computed properties:
- distance to the lowest polymorph of the same formula (meV per atom) = 273
- calculated formation energy (eV per formula unit) = 3.14
- magnetic moment (μB/atom) = 0.000

No. 4
The following is a PBE calculation of a geometry-optimized Ti2V2Co structure, from Alexandria.

Cell lengths 3.024, 3.024, 7.904 Å; angles 101.03, 101.03, 90.00 degrees
Site moments in Bohr magnetons follow the coordinates.
Positions (direct):
Ti  0.597  0.597  0.194  -0.04
Ti  0.403  0.403  0.806  -0.04
V  0.794  0.794  0.589  -0.01
V  0.206  0.206  0.411  -0.01
Co  0.000  0.000  0.000  0.24

Computed properties:
- distance to the lowest polymorph of the same formula (meV per atom) = 0
- calculated formation energy (eV per formula unit) = -0.89
- magnetic moment (μB/atom) = 0.020

No. 5
The following is a PBE calculation of a geometry-optimized Ti2V2Co7 structure, from Alexandria.

Cell lengths 6.522, 4.168, 5.428 Å; angles 91.11, 106.84, 104.66 degrees
Site moments in Bohr magnetons follow the coordinates.
Positions (direct):
Ti  0.746  0.373  0.835  -0.19
Ti  0.254  0.627  0.165  -0.19
V  0.673  0.299  0.310  -0.23
V  0.327  0.701  0.690  -0.23
Co  0.024  0.243  0.614  0.97
Co  0.636  0.811  0.059  0.37
Co  0.976  0.757  0.386  0.97
Co  0.364  0.189  0.941  0.37
Co  0.000  0.000  0.000  1.23
Co  0.644  0.803  0.547  0.47
Co  0.356  0.197  0.453  0.47

Computed properties:
- calculated formation energy (eV per formula unit) = -0.86
- magnetic moment (μB/atom) = 0.348

No. 6
The following is a PBE calculation of a geometry-optimized Ti6VCo5 structure, from Alexandria.

Cell lengths 4.216, 6.003, 7.313 Å; angles 114.23, 106.75, 90.00 degrees
Site moments in Bohr magnetons follow the coordinates.
Positions (direct):
V  0.000  0.000  0.000  0.05
Co  0.332  0.832  0.664  0.27
Co  0.669  0.669  0.339  0.53
Co  0.000  0.500  0.000  0.51
Co  0.331  0.331  0.661  0.53
Co  0.668  0.168  0.336  0.27
Ti  0.167  0.417  0.334  -0.07
Ti  0.167  0.917  0.334  -0.07
Ti  0.500  0.251  0.000  -0.06
Ti  0.500  0.749  0.000  -0.06
Ti  0.833  0.083  0.666  -0.07
Ti  0.833  0.583  0.666  -0.07

Computed properties:
- calculated formation energy (eV per formula unit) = -3.95
- magnetic moment (μB/atom) = 0.132

No. 7
The following is a PBE calculation of a geometry-optimized TiV2Co structure, from Alexandria.

Cell lengths 6.768, 6.768, 5.387 Å; angles 51.09, 51.09, 90.00 degrees
Positions (direct):
V  0.660  0.125  0.250
V  0.090  0.625  0.250
V  0.375  0.340  0.750
V  0.875  0.910  0.750
Co  0.000  0.000  0.000
Co  0.750  0.250  0.500
Ti  0.500  0.500  0.000
Ti  0.250  0.750  0.500

Computed properties:
- distance to the lowest polymorph of the same formula (meV per atom) = 418
- calculated formation energy (eV per formula unit) = 1.04
- magnetic moment (μB/atom) = 0.000

No. 8
The following is a PBE calculation of a geometry-optimized TiVZn2Co structure, from Alexandria.

Cell lengths 4.726, 4.183, 4.726 Å; angles 90.00, 90.00, 90.00 degrees
Site moments in Bohr magnetons follow the coordinates.
Positions (direct):
Zn  0.000  0.000  0.500  -0.02
Zn  0.500  0.000  0.000  -0.01
Ti  0.000  0.500  0.000  0.18
Co  0.500  0.500  0.500  1.95
V  0.000  0.000  0.000  0.08

Computed properties:
- calculated formation energy (eV per formula unit) = 5.60
- magnetic moment (μB/atom) = 0.404